(1)
This record from Alexandria via LeMat-Bulk describes a relaxed Tl8In2Sn crystal. The functional is GGA-PBE.

a = 5.467 Å, b = 5.467 Å, c = 11.558 Å
α = 90.00°, β = 90.00°, γ = 90.00°
Atoms (fractional coordinates):
Tl 0.000 0.500 0.500
Tl 0.500 0.000 0.500
Tl 0.500 0.500 0.327
Tl 0.500 0.500 0.673
Tl 0.000 0.500 0.152
Tl 0.500 0.000 0.152
Tl 0.000 0.500 0.848
Tl 0.500 0.000 0.848
In 0.000 0.000 0.326
In 0.000 0.000 0.674
Sn 0.000 0.000 0.000

Calculated values
The size of the total moment is 0.00 μB per cell. The calculated density comes out at 9.54 Mg/m³. The calculation puts the excess energy over the best structure of this formula in the dataset at 0.010 eV/atom. As for the formation energy: 44 meV per atom.


(2)
This record from Alexandria via LeMat-Bulk describes a relaxed Tl3In8Sn2 crystal. The functional is GGA-PBE.

a = 5.163 Å, b = 9.415 Å, c = 9.475 Å
α = 119.79°, β = 104.99°, γ = 90.00°
Atoms (fractional coordinates):
Tl 0.500 0.000 0.000
Tl 0.000 0.744 0.000
Tl 0.000 0.256 0.000
In 0.448 0.582 0.164
In 0.552 0.418 0.836
In 0.152 0.151 0.302
In 0.848 0.849 0.698
In 0.335 0.042 0.644
In 0.335 0.602 0.644
In 0.665 0.398 0.356
In 0.665 0.958 0.356
Sn 0.950 0.315 0.630
Sn 0.050 0.685 0.370

Calculated values
The size of the total moment is 0.00 μB per cell. The calculated density comes out at 7.70 Mg/m³. As for the formation energy: 52 meV per atom.


(3)
This record from Alexandria via LeMat-Bulk describes a relaxed Tl8In2Sn crystal. The functional is GGA-PBE.

a = 5.494 Å, b = 7.604 Å, c = 9.421 Å
α = 113.81°, β = 106.95°, γ = 90.00°
Atoms (fractional coordinates):
Tl 0.653 0.886 0.306
Tl 0.347 0.581 0.694
Tl 0.165 0.165 0.331
Tl 0.000 0.275 0.000
Tl 0.835 0.835 0.669
Tl 0.653 0.419 0.306
Tl 0.347 0.114 0.694
Tl 0.000 0.725 0.000
In 0.182 0.682 0.364
In 0.818 0.318 0.636
Sn 0.500 0.000 0.000

Calculated values
The size of the total moment is 0.00 μB per cell. The calculated density comes out at 9.65 Mg/m³. The calculation puts the excess energy over the best structure of this formula in the dataset at 0.000 eV/atom. As for the formation energy: 34 meV per atom.


(4)
This record from Alexandria via LeMat-Bulk describes a relaxed TlIn7Sn5 crystal. The functional is GGA-PBE.

a = 6.260 Å, b = 8.238 Å, c = 8.238 Å
α = 84.44°, β = 69.75°, γ = 69.75°
Atoms (fractional coordinates):
Tl 0.038 0.994 0.994
In 0.655 0.355 0.355
In 0.370 0.642 0.642
In 0.953 0.349 0.644
In 0.953 0.644 0.349
In 0.307 0.237 0.237
In 0.551 0.832 0.178
In 0.551 0.178 0.832
Sn 0.425 0.011 0.564
Sn 0.988 0.993 0.439
Sn 0.425 0.564 0.011
Sn 0.988 0.439 0.993
Sn 0.795 0.762 0.762

Calculated values
The size of the total moment is 0.00 μB per cell. The calculated density comes out at 7.11 Mg/m³. As for the formation energy: 60 meV per atom.


(5)
This record from Alexandria via LeMat-Bulk describes a relaxed Tl6InSn12 crystal. The functional is GGA-PBE.

a = 8.469 Å, b = 8.469 Å, c = 8.469 Å
α = 101.67°, β = 101.67°, γ = 101.67°
Atoms (fractional coordinates):
Tl 0.161 0.171 0.425
Tl 0.829 0.575 0.839
Tl 0.575 0.839 0.829
Tl 0.839 0.829 0.575
Tl 0.171 0.425 0.161
Tl 0.425 0.161 0.171
In 0.000 0.000 0.000
Sn 0.580 0.184 0.606
Sn 0.184 0.606 0.580
Sn 0.606 0.580 0.184
Sn 0.420 0.816 0.394
Sn 0.816 0.394 0.420
Sn 0.394 0.420 0.816
Sn 0.254 0.006 0.751
Sn 0.249 0.746 0.994
Sn 0.994 0.249 0.746
Sn 0.746 0.994 0.249
Sn 0.751 0.254 0.006
Sn 0.006 0.751 0.254

Calculated values
The size of the total moment is 0.00 μB per cell. The calculated density comes out at 8.15 Mg/m³. As for the formation energy: 70 meV per atom.


(6)
This record from Alexandria via LeMat-Bulk describes a relaxed TlInSn crystal. The functional is GGA-PBE.

a = 3.827 Å, b = 3.827 Å, c = 6.486 Å
α = 107.16°, β = 107.16°, γ = 90.00°
Atoms (fractional coordinates):
Tl 0.999 0.999 0.998
Sn 0.325 0.325 0.651
In 0.676 0.676 0.352

Calculated values
The size of the total moment is 0.00 μB per cell. The calculated density comes out at 8.42 Mg/m³. The calculation puts the excess energy over the best structure of this formula in the dataset at 0.031 eV/atom. As for the formation energy: 45 meV per atom.


(7)
This record from Alexandria via LeMat-Bulk describes a relaxed Tl7In3Sn crystal. The functional is GGA-PBE.

a = 3.311 Å, b = 16.904 Å, c = 12.444 Å
α = 90.00°, β = 90.00°, γ = 95.62°
Atoms (fractional coordinates):
Tl 0.374 0.748 0.750
Tl 0.626 0.252 0.250
Tl 0.496 0.993 0.374
Tl 0.504 0.007 0.626
Tl 0.504 0.007 0.874
Tl 0.496 0.993 0.126
Tl 0.351 0.702 0.402
Tl 0.649 0.298 0.598
Tl 0.285 0.570 0.588
Tl 0.715 0.430 0.412
Tl 0.715 0.430 0.088
Tl 0.285 0.570 0.912
Tl 0.351 0.702 0.098
Tl 0.649 0.298 0.902
In 0.078 0.156 0.464
In 0.922 0.844 0.536
In 0.214 0.428 0.750
In 0.786 0.572 0.250
In 0.078 0.156 0.036
In 0.922 0.844 0.964
Sn 0.919 0.838 0.250
Sn 0.081 0.162 0.750

Calculated values
The size of the total moment is 0.00 μB per cell. The calculated density comes out at 9.07 Mg/m³. The calculation puts the excess energy over the best structure of this formula in the dataset at 0.027 eV/atom. As for the formation energy: 89 meV per atom.


(8)
This record from Alexandria via LeMat-Bulk describes a relaxed Tl2In6Sn crystal. The functional is GGA-PBE.

a = 3.265 Å, b = 9.528 Å, c = 9.528 Å
α = 60.08°, β = 90.02°, γ = 90.02°
Atoms (fractional coordinates):
Tl 0.000 0.333 0.333
Tl 0.000 0.667 0.667
In 0.499 0.670 0.000
In 0.501 0.000 0.330
In 0.501 0.330 0.000
In 0.500 0.670 0.330
In 0.499 0.000 0.670
In 0.500 0.330 0.670
Sn 0.000 0.000 0.000

Calculated values
The size of the total moment is 0.00 μB per cell. The calculated density comes out at 7.86 Mg/m³. As for the formation energy: 30 meV per atom.


- Look up the calculated density of the sixth one.
  8.42 Mg/m³


- Number 7 is which compound?
  Tl7In3Sn